# Os2W

An optimized crystal structure of Os2W (PBE, the Alexandria database).

Output
The density of states at the Fermi level comes out at 5.7 states/eV per cell. Its relative energy among the computed polymorphs is 108.5 meV/atom. The crystal system is tetragonal.

abc: 2.7583 2.7583 11.8130
angles: 90.00 90.00 90.00
Last column: nearest neighbours and their distance in Å.
Space group I4/mmm (No. 139)
One atom of each set of equivalent atoms:
1 Os 0.0000 0.0000 0.1713 [4 per cell]  8 Os 2.69-2.76, 4 W 2.81
2 W 0.0000 0.0000 0.5000 [2 per cell]  4 W 2.76, 8 Os 2.81